VASP calculation (PBE-GGA) on Pr8Mg2Ni after structural relaxation.

Geometry as POSCAR:
```
Pr8Mg2Ni
1.0
9.037 -2.847 0.000
9.037 2.847 0.000
-2.532 0.000 6.709
Pr Mg Ni
8 2 1
direct
0.010 0.010 0.277
0.200 0.200 0.760
0.355 0.355 0.569
0.405 0.405 0.092
0.595 0.595 0.908
0.645 0.645 0.431
0.800 0.800 0.240
0.990 0.990 0.723
0.180 0.180 0.195
0.820 0.820 0.805
0.500 0.500 0.500
```

Summary:
E: -4.3048 eV per atom
total magnetic moment: 0.00 μB/cell
SG: C2/m
volume: 31.4 Å³ per atom